<a>
An optimized crystal structure of Tb3Pm2Y7. Source: Alexandria, functional PBE.

Properties
Its space-group type is P2/m.

abc: 6.4063 3.5526 17.3354
angles: 90.00 90.02 90.00
Atoms (fractional coordinates):
Tb (0.0000, 0.0000, 0.0000)
Tb (0.5000, 0.5000, 0.3411)
Tb (0.5000, 0.5000, 0.6589)
Pm (0.0086, 0.0000, 0.3260)
Pm (0.9914, 0.0000, 0.6740)
Y (0.1770, 0.5000, 0.1642)
Y (0.2559, 0.0000, 0.5014)
Y (0.3250, 0.0000, 0.8334)
Y (0.5000, 0.5000, 0.0000)
Y (0.6750, 0.0000, 0.1666)
Y (0.7441, 0.0000, 0.4986)
Y (0.8230, 0.5000, 0.8358)



<b>
An optimized crystal structure of Tb3Pm2Y7. Source: Alexandria, functional PBE.

Properties
Its space-group type is P2/m.

abc: 5.8324 3.6001 18.8060
angles: 90.00 93.51 90.00
Atoms (fractional coordinates):
Tb (0.0000, 0.0000, 0.0000)
Tb (0.2781, 0.5000, 0.6317)
Tb (0.7219, 0.5000, 0.3683)
Pm (0.2075, 0.0000, 0.2941)
Pm (0.7925, 0.0000, 0.7059)
Y (0.1834, 0.5000, 0.1425)
Y (0.2420, 0.0000, 0.4621)
Y (0.3133, 0.0000, 0.8234)
Y (0.5000, 0.5000, 0.0000)
Y (0.6867, 0.0000, 0.1766)
Y (0.7580, 0.0000, 0.5379)
Y (0.8166, 0.5000, 0.8575)



Quick one: least stable of them? <b>



<a>
An optimized crystal structure of Tb5PmY4. Source: Alexandria, functional PBE.

Properties
Its space-group type is P1.

abc: 6.3069 6.7648 9.2555
angles: 107.83 90.04 117.77
Atoms (fractional coordinates):
Tb (0.0000, 0.0000, 0.0000)
Tb (0.0616, 0.8023, 0.3002)
Tb (0.3977, 0.8022, 0.7993)
Tb (0.6643, 0.0016, 0.4991)
Tb (0.7945, 0.6012, 0.6000)
Pm (0.2646, 0.1996, 0.6985)
Y (0.1957, 0.4031, 0.3983)
Y (0.4649, 0.6025, 0.0995)
Y (0.5976, 0.2009, 0.2001)
Y (0.8671, 0.4017, 0.9012)



<b>
An optimized crystal structure of Tb5PmY4. Source: Alexandria, functional PBE.

Properties
Its space-group type is I4mm.

abc: 8.0544 8.0544 8.0544
angles: 97.87 97.87 136.56
Atoms (fractional coordinates):
Tb (0.0000, 0.0000, 0.0000)
Tb (0.0786, 0.0786, 0.6228)
Tb (0.0786, 0.4558, 0.0000)
Tb (0.4558, 0.0786, 0.0000)
Tb (0.4558, 0.4558, 0.3772)
Pm (0.5309, 0.5309, 0.0000)
Y (0.0958, 0.7721, 0.3237)
Y (0.4484, 0.7721, 0.6763)
Y (0.7721, 0.0958, 0.3237)
Y (0.7721, 0.4484, 0.6763)



Quick one: least stable of them? <b>



<a>
An optimized crystal structure of Tb6PmY4. Source: Alexandria, functional PBE.

Properties
Its space-group type is I-42m.

abc: 9.7894 9.7894 9.7894
angles: 140.83 140.83 56.59
Atoms (fractional coordinates):
Tb (0.0000, 0.5000, 0.5000)
Tb (0.0480, 0.6909, 0.0000)
Tb (0.3091, 0.3091, 0.3571)
Tb (0.5000, 0.0000, 0.5000)
Tb (0.6909, 0.0480, 0.0000)
Tb (0.9520, 0.9520, 0.6429)
Pm (0.5000, 0.5000, 0.0000)
Y (0.1382, 0.1382, 0.6263)
Y (0.4882, 0.8618, 0.0000)
Y (0.5118, 0.5118, 0.3737)
Y (0.8618, 0.4882, 0.0000)



<b>
An optimized crystal structure of Tb6PmY4. Source: Alexandria, functional PBE.

Properties
Its space-group type is I-42m.

abc: 9.7774 9.7774 9.7774
angles: 140.55 140.55 57.02
Atoms (fractional coordinates):
Tb (0.0000, 0.5000, 0.5000)
Tb (0.0140, 0.6418, 0.0000)
Tb (0.3582, 0.3582, 0.3722)
Tb (0.5000, 0.0000, 0.5000)
Tb (0.6418, 0.0140, 0.0000)
Tb (0.9860, 0.9860, 0.6278)
Pm (0.0000, 0.0000, 0.0000)
Y (0.1878, 0.1878, 0.6409)
Y (0.4531, 0.8122, 0.0000)
Y (0.5469, 0.5469, 0.3591)
Y (0.8122, 0.4531, 0.0000)



Quick one: least stable of them? <b>